Entry a
LiSnSb2I after structural relaxation. Source: the Alexandria database, functional PBE.

a = 5.700 Å, b = 5.700 Å, c = 6.371 Å
α = 90.00°, β = 90.00°, γ = 90.00°
Space group P4/mmm (No. 123)
One atom of each set of equivalent atoms:
Li  0.000  0.000  0.000
Sn  0.500  0.500  0.500
Sb  0.000  0.500  0.500
I  0.500  0.500  0.000

## Properties
Theoretical density   3.98 Mg/m³
D(E_F)   4.66 states/eV/cell

=====

Entry b
LiSnSb2I after structural relaxation. Source: the Alexandria database, functional PBE.

a = 5.038 Å, b = 5.038 Å, c = 5.665 Å
α = 90.00°, β = 90.00°, γ = 90.00°
Space group P4/mmm (No. 123)
One atom of each set of equivalent atoms:
Li  0.000  0.000  0.000
Sn  0.500  0.500  0.500
Sb  0.000  0.500  0.000
I  0.000  0.000  0.500

## Properties
Theoretical density   5.73 Mg/m³
D(E_F)   3.14 states/eV/cell

=====

Which of them is the least stable? Correct choice: entry a.

=====

Entry a
LiTaSb2I after structural relaxation. Source: the Alexandria database, functional PBE.

a = 4.863 Å, b = 4.863 Å, c = 5.287 Å
α = 90.00°, β = 90.00°, γ = 90.00°
Space group P4/mmm (No. 123)
One atom of each set of equivalent atoms:
Li  0.000  0.000  0.000
Ta  0.500  0.500  0.500
Sb  0.000  0.500  0.000
I  0.000  0.000  0.500

## Properties
Theoretical density   7.41 Mg/m³
D(E_F)   5.40 states/eV/cell

=====

Entry b
LiTaSb2I after structural relaxation. Source: the Alexandria database, functional PBE.

a = 5.325 Å, b = 5.325 Å, c = 6.018 Å
α = 90.00°, β = 90.00°, γ = 90.00°
Space group P4/mmm (No. 123)
One atom of each set of equivalent atoms:
Li  0.000  0.000  0.000
Ta  0.500  0.500  0.500
Sb  0.000  0.500  0.500
I  0.500  0.500  0.000

## Properties
Theoretical density   5.43 Mg/m³
D(E_F)   3.10 states/eV/cell

=====

Which of them is the least stable? Correct choice: entry a.

=====

Entry a
LiTcSbI2 after structural relaxation. Source: the Alexandria database, functional PBE.

a = 5.788 Å, b = 5.788 Å, c = 5.071 Å
α = 90.00°, β = 90.00°, γ = 90.00°
Space group P4/mmm (No. 123)
One atom of each set of equivalent atoms:
Li  0.000  0.000  0.000
Tc  0.500  0.500  0.500
Sb  0.500  0.500  0.000
I  0.000  0.500  0.500

## Properties
Theoretical density   4.70 Mg/m³
D(E_F)   3.29 states/eV/cell

=====

Entry b
LiTcSbI2 after structural relaxation. Source: the Alexandria database, functional PBE.

a = 5.241 Å, b = 5.241 Å, c = 5.387 Å
α = 90.00°, β = 90.00°, γ = 90.00°
Space group P4/mmm (No. 123)
One atom of each set of equivalent atoms:
Li  0.000  0.000  0.000
Tc  0.500  0.500  0.500
Sb  0.000  0.000  0.500
I  0.000  0.500  0.000

## Properties
Theoretical density   5.39 Mg/m³
D(E_F)   3.69 states/eV/cell

=====

Which of them is the least stable? Correct choice: entry b.

=====

Entry a
LiSb2TeI after structural relaxation. Source: the Alexandria database, functional PBE.

a = 5.872 Å, b = 5.872 Å, c = 5.960 Å
α = 90.00°, β = 90.00°, γ = 90.00°
Space group P4/mmm (No. 123)
One atom of each set of equivalent atoms:
Li  0.000  0.000  0.000
Sb  0.000  0.500  0.500
Te  0.500  0.500  0.000
I  0.500  0.500  0.500

## Properties
Theoretical density   4.08 Mg/m³
D(E_F)   5.88 states/eV/cell

=====

Entry b
LiSb2TeI after structural relaxation. Source: the Alexandria database, functional PBE.

a = 5.360 Å, b = 5.360 Å, c = 4.905 Å
α = 90.00°, β = 90.00°, γ = 90.00°
Space group P4/mmm (No. 123)
One atom of each set of equivalent atoms:
Li  0.000  0.000  0.000
Sb  0.000  0.500  0.000
Te  0.000  0.000  0.500
I  0.500  0.500  0.500

## Properties
Theoretical density   5.95 Mg/m³
D(E_F)   5.15 states/eV/cell

=====

Which of them is the least stable? Correct choice: entry a.